Entry from Alexandria via LeMat-Bulk: an optimized crystal structure of Th2BiPb (PBE).

The space group is P4/mmm (No. 123) and the conventional cell measures 3.802, 3.802 and 8.467 Å, with angles of 90.00, 90.00 and 90.00 degrees. The asymmetric unit holds Th at (0.000, 0.000, 0.237), Bi at (0.500, 0.500, 0.000) and Pb at (0.500, 0.500, 0.500).



Entry from Alexandria via LeMat-Bulk: an optimized crystal structure of TmThBiPb (PBE).

The space group is R3m (No. 160, hexagonal axes) and the conventional cell measures 5.0733, 5.0733 and 16.4345 Å, with angles of 90.00, 90.00 and 120.00 degrees. The asymmetric unit holds Tm at (0.0000, 0.0000, 0.0000), Th at (0.0000, 0.0000, 0.4975), Bi at (0.0000, 0.0000, 0.2602) and Pb at (0.0000, 0.0000, 0.7439).



no.,E_form (eV per atom),calculated volume (Å³ per cell)
1,-0.38,122.4
2,-0.42,366.3